VASP calculation (PBE with a Hubbard U) on a relaxed structure of Mn3CrO8.

a = 5.792 Å, b = 5.792 Å, c = 8.891 Å
α = 90.00°, β = 90.00°, γ = 120.00°
Each line ends with the local moment (μB).
Element x y z (fractional)
Mn (0.336, 0.168, 0.711)  3.25
Mn (0.168, 0.336, 0.211)  3.25
Mn (0.664, 0.832, 0.211)  3.25
Mn (0.832, 0.168, 0.711)  3.25
Mn (0.168, 0.832, 0.211)  3.25
Mn (0.832, 0.664, 0.711)  3.25
O (0.522, 0.478, 0.838)  -0.19
O (0.832, 0.664, 0.101)  -0.11
O (0.168, 0.336, 0.601)  -0.11
O (0.478, 0.522, 0.338)  -0.19
O (0.333, 0.667, 0.101)  -0.14
O (0.522, 0.043, 0.838)  -0.19
O (0.664, 0.832, 0.601)  -0.11
O (0.957, 0.478, 0.838)  -0.19
O (0.667, 0.333, 0.601)  -0.14
O (0.336, 0.168, 0.101)  -0.11
O (0.478, 0.957, 0.338)  -0.19
O (0.832, 0.168, 0.101)  -0.11
O (0.000, 0.000, 0.816)  -0.11
O (0.043, 0.522, 0.338)  -0.19
O (0.000, 0.000, 0.316)  -0.11
O (0.168, 0.832, 0.601)  -0.11
Cr (0.667, 0.333, 0.991)  2.36
Cr (0.333, 0.667, 0.491)  2.36

## Properties
Density: 4.43 g/cm3
Symmetry: P6_3mc, No. 186
Energy relative to the lowest polymorph listed for this composition: 0.000 eV per atom